Computed, not measured: Pm4NdSe4 after structural relaxation at the PBE level of DFT.

Computed properties:
uncorrected energy = -52.09 eV/f.u.
M_tot = 0.00 μB/f.u.
energy relative to the elements, uncorrected = -1.598 eV/atom
calculated density = 6.76 g cm⁻³

```
data_Pm4NdSe4
_symmetry_space_group_name_H-M 'I 4/m'
_symmetry_Int_Tables_number 87
_symmetry_space_group_name_Hall '-I 4'
_cell_length_a 9.3063
_cell_length_b 9.3063
_cell_length_c 5.9004
_cell_angle_alpha 90.00
_cell_angle_beta 90.00
_cell_angle_gamma 90.00
loop_
_atom_site_label
_atom_site_type_symbol
_atom_site_fract_x
_atom_site_fract_y
_atom_site_fract_z
Pm1 Pm 0.1036 0.3004 0.0000
Nd1 Nd 0.0000 0.0000 0.5000
Se1 Se 0.0985 0.3030 0.5000
```

---

Computed, not measured: CaTaC2Cl after structural relaxation at the PBE level of DFT.

Computed properties:
uncorrected energy = -30.77 eV/f.u.
M_tot = 1.01 μB/f.u.
energy relative to the elements, uncorrected = 0.676 eV/atom
calculated density = 4.16 g cm⁻³

```
data_CaTaC2Cl
_symmetry_space_group_name_H-M 'P 4/m m m'
_symmetry_Int_Tables_number 123
_symmetry_space_group_name_Hall '-P 4 2'
_cell_length_a 4.0927
_cell_length_b 4.0927
_cell_length_c 6.6877
_cell_angle_alpha 90.00
_cell_angle_beta 90.00
_cell_angle_gamma 90.00
loop_
_atom_site_label
_atom_site_type_symbol
_atom_site_fract_x
_atom_site_fract_y
_atom_site_fract_z
Ca1 Ca 0.0000 0.0000 0.0000
Ta1 Ta 0.0000 0.0000 0.5000
C1 C 0.0000 0.5000 0.5000
Cl1 Cl 0.5000 0.5000 0.0000
```